[1]
NdScAsO: optimized geometry, PBE-GGA.

The total magnetic moment is 0.00 Bohr magnetons per cell. The mass density comes out at 5.2 g cm⁻³. The total energy is -7.20 eV/atom.

It has space group Pmc2_1 (No. 26), with a = 4.8519 Å, b = 6.1435 Å, c = 5.9825 Å, α = 90.00°, β = 90.00° and γ = 90.00°. Symmetry generates all atoms from Nd at (0.0000, 0.2449, 0.0000), Sc at (0.5000, 0.3607, 0.6031), As at (0.0000, 0.2389, 0.4954) and O at (0.5000, 0.3471, 0.9427).

***

[2]
NdSiAsO: optimized geometry, PBE-GGA.

The total magnetic moment is 0.00 Bohr magnetons per cell. The mass density comes out at 5.6 g cm⁻³. The total energy is -6.31 eV/atom.

It has space group P4/nmm (No. 129, origin choice 2), with a = 4.1723 Å, b = 4.1723 Å, c = 8.9409 Å, α = 90.00°, β = 90.00° and γ = 90.00°. Symmetry generates all atoms from Nd at (0.2500, 0.2500, 0.1236), Si at (0.2500, 0.7500, 0.5000), As at (0.2500, 0.2500, 0.6705) and O at (0.2500, 0.7500, 0.0000).

***

[3]
NdSiAsO: optimized geometry, PBE-GGA.

The total magnetic moment is 0.01 Bohr magnetons per cell. The mass density comes out at 5.1 g cm⁻³. The total energy is -5.78 eV/atom.

It has space group P4/nmm (No. 129, origin choice 2), with a = 5.9901 Å, b = 5.9901 Å, c = 4.7485 Å, α = 90.00°, β = 90.00° and γ = 90.00°. Symmetry generates all atoms from Nd at (0.2500, 0.7500, 0.0000), Si at (0.2500, 0.2500, 0.4944), As at (0.2500, 0.2500, 0.9944) and O at (0.2500, 0.7500, 0.5000).

***

[4]
NdSiAsO: optimized geometry, PBE-GGA.

The total magnetic moment is 0.01 Bohr magnetons per cell. The mass density comes out at 6.3 g cm⁻³. The total energy is -6.23 eV/atom.

It has space group Pmc2_1 (No. 26), with a = 4.1549 Å, b = 4.6793 Å, c = 7.1809 Å, α = 90.00°, β = 90.00° and γ = 90.00°. Symmetry generates all atoms from Nd at (0.0000, 0.2092, 0.0000), Si at (0.5000, 0.3182, 0.3552), As at (0.5000, 0.1596, 0.6910) and O at (0.0000, 0.3118, 0.3460).

***

[5]
NdSiAsO: optimized geometry, PBE-GGA.

The total magnetic moment is 0.01 Bohr magnetons per cell. The mass density comes out at 5.2 g cm⁻³. The total energy is -6.40 eV/atom.

It has space group Pmc2_1 (No. 26), with a = 3.8493 Å, b = 6.1954 Å, c = 7.0472 Å, α = 90.00°, β = 90.00° and γ = 90.00°. Symmetry generates all atoms from Nd at (0.0000, 0.2486, 0.0000), Si at (0.5000, 0.3814, 0.6071), As at (0.0000, 0.2411, 0.4271) and O at (0.5000, 0.2444, 0.8129).

***

[6]
SrNdAsO: optimized geometry, PBE-GGA.

The total magnetic moment is 0.00 Bohr magnetons per cell. The mass density comes out at 5.6 g cm⁻³. The total energy is -5.75 eV/atom.

It has space group P4/nmm (No. 129, origin choice 2), with a = 4.4616 Å, b = 4.4616 Å, c = 9.5335 Å, α = 90.00°, β = 90.00° and γ = 90.00°. Symmetry generates all atoms from Sr at (0.2500, 0.7500, 0.0000), Nd at (0.2500, 0.2500, 0.4014), As at (0.2500, 0.2500, 0.7868) and O at (0.2500, 0.7500, 0.5000).

***

[7]
SrNdAsO: optimized geometry, PBE-GGA.

The total magnetic moment is 0.00 Bohr magnetons per cell. The mass density comes out at 5.6 g cm⁻³. The total energy is -5.75 eV/atom.

It has space group P4/nmm (No. 129, origin choice 2), with a = 4.4834 Å, b = 4.4834 Å, c = 9.5005 Å, α = 90.00°, β = 90.00° and γ = 90.00°. Symmetry generates all atoms from Sr at (0.2500, 0.7500, 0.0000), Nd at (0.2500, 0.2500, 0.4040), As at (0.2500, 0.2500, 0.7870) and O at (0.2500, 0.7500, 0.5000).

***

[8]
SrNdAsO: optimized geometry, PBE-GGA.

The total magnetic moment is 0.00 Bohr magnetons per cell. The mass density comes out at 5.0 g cm⁻³. The total energy is -6.04 eV/atom.

It has space group Pmc2_1 (No. 26), with a = 4.3479 Å, b = 7.0205 Å, c = 6.9795 Å, α = 90.00°, β = 90.00° and γ = 90.00°. Symmetry generates all atoms from Sr at (0.0000, 0.1351, 0.0000), Nd at (0.5000, 0.4682, 0.6809), As at (0.0000, 0.3045, 0.4245) and O at (0.5000, 0.2796, 0.9534).